1.
# Cr2SiCl

A geometry-optimized Cr2SiCl structure (PBE-GGA, Alexandria via LeMat-Bulk).

abc: 4.4663 4.4663 4.4663
angles: 60.00 60.00 60.00
Last column: nearest neighbours and their distance in Å.
Element x y z (fractional)
Cr 0.0000 0.0000 0.0000  4 Cr 2.74, 4 Si 2.74
Cr 0.2500 0.2500 0.2500  4 Cl 2.74, 4 Cr 2.74
Si 0.7500 0.7500 0.7500  4 Cr 2.74, 4 Cl 2.74
Cl 0.5000 0.5000 0.5000  4 Si 2.74, 4 Cr 2.74

Results
- E above lowest polymorph: 716 meV per atom
- Formation energy without anion corrections: 0.725 eV/atom
- Density of states at the Fermi level: 2.9 states/eV/f.u.
- Calculated total energy: -23.616 eV for the cell shown

2.
# CePt4Au2

A geometry-optimized CePt4Au2 structure (PBE-GGA, Alexandria via LeMat-Bulk).

abc: 5.4812 5.5946 5.5946
angles: 75.93 60.43 60.43
Last column: nearest neighbours and their distance in Å.
Element x y z (fractional)
Ce 0.0000 0.0000 0.0000  4 Pt 2.93
Au 0.7495 0.5004 0.5004  2 Au 2.74, 8 Pt 2.83-2.84
Au 0.2504 0.4996 0.4996  2 Au 2.74, 8 Pt 2.83-2.84
Pt 0.3008 0.0000 0.3979  4 Pt 2.74-2.92, 4 Au 2.83-2.84, 1 Ce 2.93
Pt 0.6992 0.0000 0.6021  4 Pt 2.74-2.92, 4 Au 2.83-2.84, 1 Ce 2.93
Pt 0.6991 0.6022 0.0000  4 Pt 2.74-2.92, 4 Au 2.83-2.84, 1 Ce 2.93
Pt 0.3009 0.3978 0.0000  4 Pt 2.74-2.92, 4 Au 2.83-2.84, 1 Ce 2.93

Results
- Formation energy: -0.456 eV per atom
- E above lowest polymorph: 0 meV per atom
- Density of states at the Fermi level: 4.8 states/eV/f.u.
- Calculated total energy: -39.846 eV for the cell shown

3.
# CdPd3Au2

A geometry-optimized CdPd3Au2 structure (PBE-GGA, Alexandria via LeMat-Bulk).

abc: 7.5072 6.7213 6.7213
angles: 143.26 90.00 90.00
Last column: nearest neighbours and their distance in Å.
Element x y z (fractional)
Au 0.2196 0.6668 0.3332  8 Pd 2.83-2.84, 2 Au 3.00, 2 Cd 3.00
Au 0.7196 0.3332 0.6668  8 Pd 2.83-2.84, 2 Au 3.00, 2 Cd 3.00
Au 0.7196 0.6668 0.3332  8 Pd 2.83-2.84, 2 Au 3.00, 2 Cd 3.00
Au 0.2196 0.3332 0.6668  8 Pd 2.83-2.84, 2 Au 3.00, 2 Cd 3.00
Pd 0.4696 0.8323 0.1677  6 Au 2.83, 2 Cd 2.85, 4 Pd 2.98-3.01
Pd 0.9697 0.5000 0.5000  4 Cd 2.83, 4 Au 2.84, 4 Pd 3.01
Pd 0.4697 0.5000 0.5000  4 Cd 2.83, 4 Au 2.84, 4 Pd 3.01
Pd 0.9696 0.8323 0.1677  6 Au 2.83, 2 Cd 2.85, 4 Pd 2.98-3.01
Pd 0.9696 0.1677 0.8323  6 Au 2.83, 2 Cd 2.85, 4 Pd 2.98-3.01
Pd 0.4696 0.1677 0.8323  6 Au 2.83, 2 Cd 2.85, 4 Pd 2.98-3.01
Cd 0.2197 0.0000 0.0000  8 Pd 2.83-2.85, 4 Au 3.00
Cd 0.7197 0.0000 0.0000  8 Pd 2.83-2.85, 4 Au 3.00

Results
- Formation energy: -0.229 eV per atom
- E above lowest polymorph: 0 meV per atom
- Density of states at the Fermi level: 2.3 states/eV/f.u.
- Calculated total energy: -48.842 eV for the cell shown

4.
# Nd2CuSn

A geometry-optimized Nd2CuSn structure (PBE-GGA, Alexandria via LeMat-Bulk).

abc: 3.5585 3.5585 10.9575
angles: 80.66 80.66 60.00
Last column: nearest neighbours and their distance in Å.
Element x y z (fractional)
Cu 0.5000 0.5000 0.5000  6 Nd 2.97
Nd 0.8999 0.8999 0.3002  3 Cu 2.97, 1 Sn 3.23
Nd 0.1001 0.1001 0.6998  3 Cu 2.97, 1 Sn 3.23
Sn 0.0000 0.0000 0.0000  2 Nd 3.23, 6 Sn 3.56

Results
- Formation energy: 0.117 eV per atom
- Density of states at the Fermi level: 5.6 states/eV/f.u.
- Calculated total energy: -17.168 eV for the cell shown

5.
# Ac3PdAu2

A geometry-optimized Ac3PdAu2 structure (PBE-GGA, Alexandria via LeMat-Bulk).

abc: 4.5662 4.5662 9.9613
angles: 103.25 103.25 90.01
Last column: nearest neighbours and their distance in Å.
Element x y z (fractional)
Au 0.7655 0.7668 0.5364  6 Ac 3.18-3.23
Au 0.1030 0.1043 0.2115  6 Ac 3.18-3.23
Ac 0.9341 0.9359 0.8740  2 Au 3.18, 4 Pd 3.23
Ac 0.5952 0.5965 0.1958  1 Pd 3.03, 5 Au 3.21-3.23
Ac 0.2734 0.2747 0.5522  1 Pd 3.03, 5 Au 3.21-3.23
Pd 0.4341 0.4359 0.8740  6 Ac 3.03-3.23

Results
- Formation energy: -0.797 eV per atom
- E above lowest polymorph: 0 meV per atom
- Density of states at the Fermi level: 2.8 states/eV/f.u.
- Calculated total energy: -28.856 eV for the cell shown

6.
# Ca3NbCo

A geometry-optimized Ca3NbCo structure (PBE-GGA, Alexandria via LeMat-Bulk).

abc: 5.5119 5.5119 5.5119
angles: 90.00 90.00 90.00
Last column: nearest neighbours and their distance in Å.
Element x y z (fractional)
Ca 0.0000 0.0000 0.5000  2 Nb 2.76
Ca 0.0000 0.5000 0.0000  2 Nb 2.76
Ca 0.5000 0.0000 0.0000  2 Nb 2.76
Nb 0.0000 0.0000 0.0000  6 Ca 2.76
Co 0.5000 0.5000 0.5000  12 Ca 3.90

Results
- Formation energy: 1.430 eV per atom
- E above lowest polymorph: 589 meV per atom
- Density of states at the Fermi level: 3.7 states/eV/f.u.
- Calculated total energy: -16.029 eV for the cell shown

7.
# Pm12Ho7Er

A geometry-optimized Pm12Ho7Er structure (PBE-GGA, Alexandria via LeMat-Bulk).

abc: 6.1852 11.4967 11.4967
angles: 116.86 100.33 100.33
Last column: nearest neighbours and their distance in Å.
Element x y z (fractional)
Ho 0.1260 0.0006 0.7563  1 Er 3.04, 1 Ho 3.30, 4 Pm 3.31-3.37
Ho 0.3697 0.2437 0.2443  1 Er 3.04, 1 Ho 3.30, 4 Pm 3.31-3.37
Ho 0.8740 0.9994 0.2437  1 Er 3.04, 1 Ho 3.30, 4 Pm 3.31-3.37
Ho 0.1254 0.7557 0.9994  1 Er 3.04, 1 Ho 3.30, 4 Pm 3.31-3.37
Ho 0.5000 0.0000 0.0000  2 Er 3.09, 6 Ho 3.30
Ho 0.6303 0.7563 0.7557  1 Er 3.04, 1 Ho 3.30, 4 Pm 3.31-3.37
Ho 0.8746 0.2443 0.0006  1 Er 3.04, 1 Ho 3.30, 4 Pm 3.31-3.37
Pm 0.0604 0.6470 0.6463  4 Ho 3.31-3.59, 1 Pm 3.35
Pm 0.4140 0.3537 0.0006  4 Ho 3.31-3.59, 1 Pm 3.35
Pm 0.4134 0.9994 0.3530  4 Ho 3.31-3.59, 1 Pm 3.35
Pm 0.9396 0.3530 0.3537  4 Ho 3.31-3.59, 1 Pm 3.35
Pm 0.0871 0.5873 0.1741  2 Ho 3.37, 5 Pm 3.40-3.72
Pm 0.5860 0.6463 0.9994  4 Ho 3.31-3.59, 1 Pm 3.35
Pm 0.9129 0.8259 0.4132  2 Ho 3.37, 5 Pm 3.40-3.72
Pm 0.5866 0.0006 0.6470  4 Ho 3.31-3.59, 1 Pm 3.35
Pm 0.0871 0.1741 0.5868  2 Ho 3.37, 5 Pm 3.40-3.72
Pm 0.5003 0.4132 0.5873  2 Ho 3.37, 5 Pm 3.40-3.72
Pm 0.4997 0.5868 0.4127  2 Ho 3.37, 5 Pm 3.40-3.72
Pm 0.9129 0.4127 0.8259  2 Ho 3.37, 5 Pm 3.40-3.72
Er 0.0000 0.0000 0.0000  8 Ho 3.04-3.09

Results
- Formation energy: 0.244 eV per atom
- E above lowest polymorph: 11 meV per atom
- Density of states at the Fermi level: 27.8 states/eV/f.u.
- Calculated total energy: -88.738 eV for the cell shown

8.
# AlZn2Si2

A geometry-optimized AlZn2Si2 structure (PBE-GGA, Alexandria via LeMat-Bulk).

abc: 7.7678 7.7678 2.7171
angles: 90.00 90.00 90.00
Last column: nearest neighbours and their distance in Å.
Element x y z (fractional)
Al 0.5000 0.5000 0.0000  2 Al 2.72, 4 Zn 3.00
Al 0.0000 0.0000 0.0000  2 Al 2.72, 4 Zn 3.00
Zn 0.1395 0.3605 0.0000  6 Si 2.60-2.69, 2 Zn 2.72
Zn 0.8605 0.6395 0.0000  6 Si 2.60-2.69, 2 Zn 2.72
Zn 0.6395 0.1395 0.0000  6 Si 2.60-2.69, 2 Zn 2.72
Zn 0.3605 0.8605 0.0000  6 Si 2.60-2.69, 2 Zn 2.72
Si 0.8410 0.3410 0.5000  6 Zn 2.60-2.69, 2 Si 2.72
Si 0.1590 0.6590 0.5000  6 Zn 2.60-2.69, 2 Si 2.72
Si 0.3410 0.1590 0.5000  6 Zn 2.60-2.69, 2 Si 2.72
Si 0.6590 0.8410 0.5000  6 Zn 2.60-2.69, 2 Si 2.72

Results
- Formation energy without anion corrections: 0.325 eV/atom
- Density of states at the Fermi level: 1.6 states/eV/f.u.
- Calculated total energy: -31.026 eV for the cell shown

9.
# BeAs2Ru

A geometry-optimized BeAs2Ru structure (PBE-GGA, Alexandria via LeMat-Bulk).

abc: 4.3255 4.3255 4.3255
angles: 60.00 60.00 60.00
Last column: nearest neighbours and their distance in Å.
Element x y z (fractional)
As 0.2500 0.2500 0.2500  4 As 2.65, 4 Be 2.65
As 0.0000 0.0000 0.0000  4 As 2.65, 4 Ru 2.65
Be 0.5000 0.5000 0.5000  4 Ru 2.65, 4 As 2.65
Ru 0.7500 0.7500 0.7500  4 As 2.65, 4 Be 2.65

Results
- Formation energy: 0.443 eV per atom
- Density of states at the Fermi level: 1.1 states/eV/f.u.
- Calculated total energy: -20.528 eV for the cell shown

10.
# Sb2IrSe

A geometry-optimized Sb2IrSe structure (PBE-GGA, Alexandria via LeMat-Bulk).

abc: 4.9180 4.9180 4.9180
angles: 120.14 120.14 89.76
Last column: nearest neighbours and their distance in Å.
Element x y z (fractional)
Se 0.5000 0.5000 0.0000  4 Sb 3.01, 4 Ir 3.01
Ir 0.7500 0.2500 0.5000  4 Se 3.01, 4 Sb 3.01
Sb 0.0000 0.0000 0.0000  4 Sb 3.01, 4 Ir 3.01
Sb 0.2500 0.7500 0.5000  4 Se 3.01, 4 Sb 3.01

Results
- Formation energy without anion corrections: 0.515 eV/atom
- Density of states at the Fermi level: 2.8 states/eV/f.u.
- Calculated total energy: -18.529 eV for the cell shown

11.
# Li2ThSn2

A geometry-optimized Li2ThSn2 structure (PBE-GGA, Alexandria via LeMat-Bulk).

abc: 4.4496 4.4496 11.3470
angles: 90.00 90.00 90.00
Last column: nearest neighbours and their distance in Å.
Element x y z (fractional)
Th 0.5000 0.0000 0.2582  8 Sn 3.39-3.53, 8 Li 3.39-3.68
Th 0.0000 0.5000 0.7418  8 Sn 3.39-3.53, 8 Li 3.39-3.68
Li 0.0000 0.5000 0.3698  5 Sn 2.53-2.67
Li 0.5000 0.0000 0.6302  5 Sn 2.53-2.67
Li 0.0000 0.0000 0.0000  4 Sn 2.78
Li 0.5000 0.5000 0.0000  4 Sn 2.78
Sn 0.0000 0.5000 0.1471  5 Li 2.53-2.78
Sn 0.5000 0.5000 0.5000  4 Li 2.67
Sn 0.0000 0.0000 0.5000  4 Li 2.67
Sn 0.5000 0.0000 0.8529  5 Li 2.53-2.78

Results
- Formation energy: -0.464 eV per atom
- Density of states at the Fermi level: 1.1 states/eV/f.u.
- Calculated total energy: -43.150 eV for the cell shown

12.
# CsAlGe

A geometry-optimized CsAlGe structure (PBE-GGA, Alexandria via LeMat-Bulk).

abc: 8.7336 4.2812 11.8270
angles: 90.00 90.00 90.00
Last column: nearest neighbours and their distance in Å.
Element x y z (fractional)
Al 0.4051 0.2500 0.0135  3 Ge 2.52-2.64, 2 Al 2.73
Al 0.5949 0.7500 0.9865  3 Ge 2.52-2.64, 2 Al 2.73
Al 0.9051 0.2500 0.4865  3 Ge 2.52-2.64, 2 Al 2.73
Al 0.0949 0.7500 0.5135  3 Ge 2.52-2.64, 2 Al 2.73
Ge 0.3023 0.7500 0.9297  3 Al 2.52-2.64
Ge 0.1977 0.2500 0.4297  3 Al 2.52-2.64
Ge 0.8023 0.7500 0.5703  3 Al 2.52-2.64
Ge 0.6977 0.2500 0.0703  3 Al 2.52-2.64
Cs 0.0163 0.7500 0.1818  5 Ge 3.75-3.96, 1 Al 3.98
Cs 0.9837 0.2500 0.8182  5 Ge 3.75-3.96, 1 Al 3.98
Cs 0.5163 0.7500 0.3182  5 Ge 3.75-3.96, 1 Al 3.98
Cs 0.4837 0.2500 0.6818  5 Ge 3.75-3.96, 1 Al 3.98

Results
- Formation energy: -0.054 eV per atom
- Density of states at the Fermi level: 0.0 states/eV/f.u.
- Calculated total energy: -37.505 eV for the cell shown

Number 1: spin magnetization 0.4 μB/f.u.. Number 2: spin magnetization 0.2 μB/f.u.. Number 3: spin magnetization 0.0 μB/f.u.. Number 4: spin magnetization 0.0 μB/f.u.. Number 5: spin magnetization 0.0 μB/f.u.. Number 6: spin magnetization 2.5 μB/f.u.. Number 7: spin magnetization 0.0 μB/f.u.. Number 8: spin magnetization 0.0 μB/f.u.. Number 9: spin magnetization 0.0 μB/f.u.. Number 10: spin magnetization 0.0 μB/f.u.. Number 11: spin magnetization 0.0 μB/f.u.. Number 12: spin magnetization 0.0 μB/f.u..